VASP calculation (PBE) on a geometry-optimized NdAsCl structure.

Cell and atoms, written as POSCAR:
```
NdAsCl
1.0
4.842 0.000 0.000
-2.421 4.193 0.000
0.000 0.000 3.625
Nd As Cl
1 1 1
direct
0.000 0.000 0.000
0.667 0.333 0.500
0.333 0.667 0.000
```

Calculated values
- crystal system = hexagonal
- D(E_F) (states/eV/f.u.) = 2.52

VASP calculation (PBE) on a geometry-optimized Nd4As3Cl structure.

Cell and atoms, written as POSCAR:
```
Nd4As3Cl
1.0
4.256 -6.001 0.000
4.256 6.001 0.000
0.000 0.000 4.246
Nd As Cl
4 3 1
direct
0.235 0.235 0.500
0.244 0.756 0.000
0.756 0.244 0.000
0.765 0.765 0.500
0.000 0.000 0.000
0.000 0.500 0.500
0.500 0.000 0.500
0.500 0.500 0.000
```

Calculated values
- crystal system = orthorhombic
- D(E_F) (states/eV/f.u.) = 2.83

VASP calculation (PBE) on a geometry-optimized Nd4As2Cl3 structure.

Cell and atoms, written as POSCAR:
```
Nd4As2Cl3
1.0
3.641 -2.102 0.000
3.641 2.102 0.000
-0.020 0.000 17.105
Nd As Cl
4 2 3
direct
0.001 0.001 0.300
0.334 0.334 0.110
0.666 0.666 0.890
0.999 0.999 0.700
0.333 0.333 0.797
0.667 0.667 0.203
0.000 0.000 0.000
0.334 0.334 0.395
0.666 0.666 0.605
```

Calculated values
- crystal system = monoclinic
- D(E_F) (states/eV/f.u.) = 4.57

no.,uncorrected formation energy (eV per atom)
1,-1.109
2,-1.563
3,-1.729